Entry 1:
First-principles (PBE) data for an optimized crystal structure of LaTbCd4, as listed in the Alexandria database.

Geometry as POSCAR:
```
LaTbCd4
1.0
3.286 1.128 -0.013
1.640 5.924 0.026
0.054 -0.054 8.788
Cd Tb La
4 1 1
Direct
0.001 0.497 0.337
0.501 0.997 0.171
0.501 0.997 0.825
0.001 0.497 0.660
0.001 0.997 0.498
0.501 0.497 0.998
```

Calculated values
Symmetry: No. 47
Energy of formation from the pure elements, kJ per mole of atoms: -33
E above lowest polymorph, meV/atom: 0
Fermi-level density of states, states/eV/f.u.: 4.70

Entry 2:
First-principles (PBE) data for an optimized crystal structure of ScCo3Sn, as listed in the Alexandria database.

Geometry as POSCAR:
```
ScCo3Sn
1.0
-3.155 2.595 1.690
-3.092 -2.775 -1.511
0.174 -2.260 3.795
Sc Co Sn
1 3 1
Direct
0.000 0.000 0.000
0.000 0.000 0.500
0.000 0.500 0.000
0.500 0.000 0.000
0.500 0.500 0.500
```

Calculated values
Symmetry: No. 221
Energy of formation from the pure elements, kJ per mole of atoms: 102
E above lowest polymorph, meV/atom: 170
Fermi-level density of states, states/eV/f.u.: 3.49

Entry 3:
First-principles (PBE) data for an optimized crystal structure of CeGaO, as listed in the Alexandria database.

Geometry as POSCAR:
```
CeGaO
1.0
4.184 -0.006 0.008
0.005 3.884 0.492
-0.011 1.054 7.213
Ga O Ce
2 2 2
Direct
0.750 0.453 0.089
0.250 0.547 0.911
0.250 0.247 0.505
0.750 0.753 0.495
0.750 0.166 0.668
0.250 0.834 0.332
```

Calculated values
Symmetry: No. 11
E above lowest polymorph, meV/atom: 0
Formation energy from raw total energies, eV/atom: -2.048
Fermi-level density of states, states/eV/f.u.: 3.76

Entry 4:
First-principles (PBE) data for an optimized crystal structure of NaLi4, as listed in the Alexandria database.

Geometry as POSCAR:
```
NaLi4
1.0
4.068 0.004 0.000
-0.037 4.068 0.000
-2.015 -2.036 7.529
Li Na
4 1
Direct
0.750 0.750 0.000
0.897 0.397 0.293
0.103 0.603 0.707
0.250 0.250 0.000
0.500 0.000 0.500
```

Calculated values
Symmetry: No. 69
Energy of formation from the pure elements, kJ per mole of atoms: 12
E above lowest polymorph, meV/atom: 0
Fermi-level density of states, states/eV/f.u.: 2.06

Entry 5:
First-principles (PBE) data for an optimized crystal structure of KAcH, as listed in the Alexandria database.

Geometry as POSCAR:
```
KAcH
1.0
-0.585 -0.654 3.782
3.614 0.200 -1.400
0.183 14.626 2.559
K H Ac
2 2 2
Direct
0.615 0.230 0.382
0.615 0.230 0.618
0.607 0.213 0.000
0.282 0.565 0.500
0.274 0.548 0.118
0.274 0.548 0.882
```

Calculated values
Symmetry: No. 38
E above lowest polymorph, meV/atom: 43
Fermi-level density of states, states/eV/f.u.: 2.42

Entry 6:
First-principles (PBE) data for an optimized crystal structure of Cd2PdAu2, as listed in the Alexandria database.

Geometry as POSCAR:
```
Cd2PdAu2
1.0
3.957 0.000 0.000
0.000 9.213 -1.772
-1.978 -5.730 6.653
Pd Au Cd
2 4 4
Direct
0.750 0.750 0.000
0.250 0.250 0.000
0.913 0.589 0.326
0.413 0.089 0.326
0.587 0.911 0.674
0.087 0.411 0.674
0.350 0.706 0.201
0.850 0.206 0.201
0.650 0.294 0.799
0.150 0.794 0.799
```

Calculated values
Symmetry: No. 12
Energy of formation from the pure elements, kJ per mole of atoms: -18
E above lowest polymorph, meV/atom: 46
Fermi-level density of states, states/eV/f.u.: 1.86

Entry 7:
First-principles (PBE) data for an optimized crystal structure of NdThInGa, as listed in the Alexandria database.

Geometry as POSCAR:
```
NdThInGa
1.0
5.373 0.000 0.000
2.686 4.653 0.000
2.686 1.551 4.387
In Nd Th Ga
1 1 1 1
Direct
0.750 0.750 0.750
0.500 0.500 0.500
0.000 0.000 0.000
0.250 0.250 0.250
```

Calculated values
Symmetry: No. 216
Energy of formation from the pure elements, kJ per mole of atoms: -34
Fermi-level density of states, states/eV/f.u.: 3.38

Entry 8:
First-principles (PBE) data for an optimized crystal structure of MgVGe, as listed in the Alexandria database.

Geometry as POSCAR:
```
MgVGe
1.0
4.319 0.002 -0.001
-2.163 3.739 0.001
-2.161 1.245 6.472
Ge V Mg
2 2 2
Direct
0.249 0.159 0.113
0.749 0.659 0.613
0.386 0.021 0.526
0.111 0.296 0.701
0.528 0.880 0.952
0.969 0.438 0.275
```

Calculated values
Symmetry: No. 166
Energy of formation from the pure elements, kJ per mole of atoms: -11
Fermi-level density of states, states/eV/f.u.: 1.71

Entry 9:
First-principles (PBE) data for an optimized crystal structure of TcTePbI2, as listed in the Alexandria database.

Geometry as POSCAR:
```
TcTePbI2
1.0
5.556 0.000 0.000
0.000 5.556 0.000
0.000 0.000 5.167
Te Pb Tc I
1 1 1 2
Direct
0.000 0.000 0.500
0.500 0.500 0.500
0.000 0.000 0.000
0.500 0.000 0.000
0.000 0.500 0.000
```

Calculated values
Symmetry: No. 123
E above lowest polymorph, meV/atom: 0
Formation energy from raw total energies, eV/atom: 0.335
Fermi-level density of states, states/eV/f.u.: 6.71

Entry 10:
First-principles (PBE) data for an optimized crystal structure of Zr2NiPt6, as listed in the Alexandria database.

Geometry as POSCAR:
```
Zr2NiPt6
1.0
-3.918 0.402 0.416
-0.886 -5.641 -2.900
2.500 -1.154 5.807
Zr Ni Pt
2 1 6
Direct
0.942 0.186 0.885
0.058 0.814 0.115
0.500 0.500 0.000
0.395 0.828 0.790
0.833 0.494 0.666
0.605 0.172 0.210
0.281 0.166 0.562
0.719 0.834 0.438
0.167 0.506 0.334
```

Calculated values
Symmetry: No. 12
Energy of formation from the pure elements, kJ per mole of atoms: -73
Fermi-level density of states, states/eV/f.u.: 7.05

Entry 11:
First-principles (PBE) data for an optimized crystal structure of Sm2EuEr, as listed in the Alexandria database.

Geometry as POSCAR:
```
Sm2EuEr
1.0
3.640 0.000 0.000
0.000 3.640 0.000
0.000 0.000 10.381
Er Eu Sm
1 1 2
Direct
0.500 0.500 0.000
0.500 0.500 0.500
0.000 0.000 0.234
0.000 0.000 0.766
```

Calculated values
Symmetry: No. 123
Energy of formation from the pure elements, kJ per mole of atoms: 4
E above lowest polymorph, meV/atom: 0
Fermi-level density of states, states/eV/f.u.: 5.06

Entry 12:
First-principles (PBE) data for an optimized crystal structure of Nd2HoSb2, as listed in the Alexandria database.

Geometry as POSCAR:
```
Nd2HoSb2
1.0
-3.828 -0.413 5.088
-0.073 -8.525 -0.746
6.740 4.115 1.403
Nd Sb Ho
4 4 2
Direct
0.349 0.992 0.698
0.849 0.706 0.698
0.151 0.294 0.302
0.651 0.008 0.302
0.893 0.116 0.785
0.107 0.884 0.215
0.393 0.669 0.785
0.607 0.331 0.215
0.250 0.500 0.000
0.750 0.500 0.000
```

Calculated values
Symmetry: No. 72
Formation energy from raw total energies, eV/atom: -0.848
Fermi-level density of states, states/eV/f.u.: 3.96

Number 1: DFT total energy -15.3 eV for the cell shown. Number 2: DFT total energy -26.4 eV for the cell shown. Number 3: DFT total energy -40.1 eV for the cell shown. Number 4: DFT total energy -8.4 eV for the cell shown. Number 5: DFT total energy -16.9 eV for the cell shown. Number 6: DFT total energy -29.0 eV for the cell shown. Number 7: DFT total energy -19.4 eV for the cell shown. Number 8: DFT total energy -31.4 eV for the cell shown. Number 9: DFT total energy -18.6 eV for the cell shown. Number 10: DFT total energy -65.9 eV for the cell shown. Number 11: DFT total energy -24.1 eV for the cell shown. Number 12: DFT total energy -53.2 eV for the cell shown.